Entry 1:
The following is a DFT calculation (PBE) of an optimized crystal structure of GaHg.

Results
ΔH_f (0 K)	0.0818	eV per atom
calculated total energy	-0.116	Ry per atom
symmetry	P4/nmm (129)

Cell lengths 3.052, 3.052, 9.874 Å; angles 90.00, 90.00, 90.00 degrees
Fractional positions:
Ga: 0.750 0.750 0.898
Ga: 0.250 0.250 0.102
Hg: 0.750 0.750 0.359
Hg: 0.250 0.250 0.641

=====

Entry 2:
The following is a DFT calculation (PBE) of an optimized crystal structure of BeCr2Re.

Results
ΔH_f (0 K)	0.1507	eV per atom
calculated total energy	-0.640	Ry per atom
symmetry	Cmmm (65)

Cell lengths 2.552, 2.552, 7.748 Å; angles 90.00, 90.00, 107.76 degrees
Fractional positions:
Re: 0.500 0.500 0.250
Be: 0.500 0.500 0.750
Cr: 0.000 0.000 0.978
Cr: 0.000 0.000 0.522

=====

Entry 3:
The following is a DFT calculation (PBE) of an optimized crystal structure of ZrAl.

Results
ΔH_f (0 K)	-0.2286	eV per atom
calculated total energy	-0.468	Ry per atom
symmetry	P6_3/mmc (194)

Cell lengths 3.085, 3.085, 9.818 Å; angles 90.00, 90.00, 120.00 degrees
Fractional positions:
Al: 0.333 0.667 0.250
Al: 0.667 0.333 0.750
Zr: 0.000 0.000 0.000
Zr: 0.000 0.000 0.500

=====

Entry 4:
The following is a DFT calculation (PBE) of an optimized crystal structure of Th2Fe3ReB12.

Results
ΔH_f (0 K)	0.0532	eV per atom
calculated total energy	-0.538	Ry per atom
symmetry	R-3m (166)

Cell lengths 7.982, 7.982, 7.982 Å; angles 42.82, 42.82, 42.82 degrees
Fractional positions:
Th: 0.631 0.631 0.631
Th: 0.369 0.369 0.369
Fe: 0.500 0.000 0.000
Fe: 0.000 0.500 0.000
Fe: 0.000 0.000 0.500
Re: 0.000 0.000 0.000
B: 0.337 0.337 0.033
B: 0.918 0.918 0.370
B: 0.370 0.918 0.918
B: 0.033 0.337 0.337
B: 0.918 0.370 0.918
B: 0.337 0.033 0.337
B: 0.663 0.663 0.967
B: 0.082 0.082 0.630
B: 0.630 0.082 0.082
B: 0.967 0.663 0.663
B: 0.082 0.630 0.082
B: 0.663 0.967 0.663

=====

Entry 5:
The following is a DFT calculation (PBE) of an optimized crystal structure of Pr4Hg2O.

Results
calculated total energy	-0.334	Ry per atom
distance to the lowest polymorph of the same formula	0.000	eV per atom
symmetry	I4/mmm (139)
formation energy (no corrections)	-7.15	eV per formula unit

Cell lengths 4.996, 4.996, 8.580 Å; angles 106.93, 106.93, 90.00 degrees
Fractional positions:
Pr: 0.824 0.824 0.647
Pr: 0.176 0.176 0.353
Pr: 0.000 0.500 0.000
Pr: 0.500 0.000 0.000
Hg: 0.630 0.630 0.260
Hg: 0.370 0.370 0.740
O: 0.000 0.000 0.000

=====

Entry 6:
The following is a DFT calculation (PBE) of an optimized crystal structure of LiYScCd.

Results
ΔH_f (0 K)	-0.1113	eV per atom
calculated total energy	-0.295	Ry per atom
symmetry	F-43m (216)

Cell lengths 5.120, 5.120, 5.120 Å; angles 60.00, 60.00, 60.00 degrees
Fractional positions:
Y: 0.500 0.500 0.500
Sc: 0.000 0.000 0.000
Li: 0.250 0.250 0.250
Cd: 0.750 0.750 0.750

=====

What is the formula in the third record? ZrAl

=====

Among the records above, which one has the lowest calculated total energy? BeCr2Re

=====

What did the first record say?
The following is a DFT calculation (PBE) of an optimized crystal structure of GaHg.

Results
ΔH_f (0 K)	0.0818	eV per atom
calculated total energy	-0.116	Ry per atom
symmetry	P4/nmm (129)

Cell lengths 3.052, 3.052, 9.874 Å; angles 90.00, 90.00, 90.00 degrees
Fractional positions:
Ga: 0.750 0.750 0.898
Ga: 0.250 0.250 0.102
Hg: 0.750 0.750 0.359
Hg: 0.250 0.250 0.641